Compound: Na2BeCd
Source: the Alexandria database
Functional: GGA-PBE
Structure: relaxed

Results
The distance to the lowest polymorph of the same formula comes out at 0 meV per atom. The value obtained for the density of states at the Fermi level is 0.490 states/eV per atom. The symmetry is I-42d, No. 122. As for the calculated formation energy: 1.729 eV/f.u. The calculation puts the mass density at 2.460 g cm⁻³. As for the volume: 28.2 Å³/atom.

a b c (Å): 9.7032 9.7032 7.2689
angles (deg): 48.13 48.13 90.00
Closest atoms and distances in Å follow each position.
Fractional positions:
Na 0.3750 0.4971 0.7500  2 Be 2.79
Na 0.8750 0.7529 0.7500  2 Be 2.79
Na 0.2471 0.6250 0.2500  2 Be 2.79
Na 0.5029 0.1250 0.2500  2 Be 2.79
Be 0.2500 0.7500 0.5000  2 Cd 2.40
Be 0.5000 0.5000 0.0000  2 Cd 2.40
Cd 0.7500 0.2500 0.5000  2 Be 2.40
Cd 0.0000 0.0000 0.0000  2 Be 2.40

***

Compound: AcOsRh
Source: the Alexandria database
Functional: GGA-PBE
Structure: relaxed

Results
The value obtained for the density of states at the Fermi level is 1.036 states/eV per atom. The symmetry is Amm2, No. 38. As for the calculated formation energy: 1.055 eV/f.u. The calculation puts the mass density at 13.609 g cm⁻³. As for the volume: 21.2 Å³/atom.

a b c (Å): 4.7640 3.3631 11.2226
angles (deg): 90.00 90.00 135.10
Closest atoms and distances in Å follow each position.
Fractional positions:
Os 0.6949 0.3899 0.6163  1 Os 2.61, 4 Rh 2.71-2.72
Os 0.6949 0.3899 0.3837  1 Os 2.61, 4 Rh 2.71-2.72
Rh 0.6935 0.3870 0.0000  8 Ac 3.16, 4 Rh 3.36
Rh 0.1951 0.3902 0.5000  8 Os 2.71-2.72
Ac 0.1941 0.3881 0.1856  5 Rh 3.16-3.53, 4 Os 3.25-3.26, 4 Ac 3.36
Ac 0.1941 0.3881 0.8144  5 Rh 3.16-3.53, 4 Os 3.25-3.26, 4 Ac 3.36

***

Compound: NaPt3Au
Source: the Alexandria database
Functional: GGA-PBE
Structure: relaxed

Results
The distance to the lowest polymorph of the same formula comes out at 473 meV per atom. The value obtained for the density of states at the Fermi level is 1.106 states/eV per atom. The symmetry is Pm-3m, No. 221. As for the calculated formation energy: 7.175 eV/f.u. The calculation puts the mass density at 13.793 g cm⁻³. As for the volume: 19.4 Å³/atom.

a b c (Å): 4.5938 4.5938 4.5938
angles (deg): 90.00 90.00 90.00
Closest atoms and distances in Å follow each position.
Fractional positions:
Pt 0.0000 0.0000 0.5000  2 Na 2.30
Pt 0.5000 0.0000 0.0000  2 Na 2.30
Pt 0.0000 0.5000 0.0000  2 Na 2.30
Na 0.0000 0.0000 0.0000  6 Pt 2.30
Au 0.5000 0.5000 0.5000  12 Pt 3.25

***

Compound: K3HgI5
Source: the Alexandria database
Functional: GGA-PBE
Structure: relaxed

Results
The value obtained for the density of states at the Fermi level is 0.000 states/eV per atom. The symmetry is I4/mcm, No. 140. The calculation puts the mass density at 3.993 g cm⁻³. As for the volume: 44.0 Å³/atom. The calculation puts the raw formation energy at -9.4 eV per formula unit.

a b c (Å): 9.6058 9.6041 10.9471
angles (deg): 116.02 116.02 90.00
Closest atoms and distances in Å follow each position.
Fractional positions:
K 0.8467 0.6532 0.0000  8 I 3.55-3.90
K 0.3467 0.8468 0.0000  8 I 3.55-3.90
K 0.6533 0.1532 0.0000  8 I 3.55-3.90
K 0.2500 0.2500 0.5000  10 I 4.04-4.29
K 0.7500 0.7500 0.5000  10 I 4.04-4.29
K 0.1533 0.3468 0.0000  8 I 3.55-3.90
I 0.9843 0.4842 0.2882  1 Hg 2.83
I 0.0157 0.5158 0.7118  1 Hg 2.83
I 0.8039 0.9842 0.2882  1 Hg 2.83
I 0.6961 0.1959 0.7118  1 Hg 2.83
I 0.3039 0.8041 0.2882  1 Hg 2.83
I 0.5157 0.6959 0.7118  1 Hg 2.83
I 0.1961 0.0158 0.7118  1 Hg 2.83
I 0.4843 0.3041 0.2882  1 Hg 2.83
I 0.5000 0.5000 0.0000  4 K 3.64
I 0.0000 0.0000 0.0000  4 K 3.64
Hg 0.2500 0.7500 0.5000  4 I 2.83
Hg 0.7500 0.2500 0.5000  4 I 2.83

***

Compound: CaTeHF
Source: the Alexandria database
Functional: GGA-PBE
Structure: relaxed

Results
The distance to the lowest polymorph of the same formula comes out at 62 meV per atom. The symmetry is P1, No. 1. The calculation puts the mass density at 3.824 g cm⁻³. As for the volume: 20.4 Å³/atom.

a b c (Å): 4.0718 4.0736 6.0260
angles (deg): 105.75 93.95 119.23
Closest atoms and distances in Å follow each position.
Fractional positions:
Ca 0.1474 0.5740 0.8986  3 F 2.33-2.41, 1 H 2.59
F 0.8405 0.9347 0.9534  3 Ca 2.33-2.41
H 0.1020 0.1803 0.4681  1 Te 1.70
Te 0.3551 0.9514 0.4798  1 H 1.70

***

Compound: Sc2CrOs
Source: the Alexandria database
Functional: GGA-PBE
Structure: relaxed

Results
The distance to the lowest polymorph of the same formula comes out at 414 meV per atom. The value obtained for the density of states at the Fermi level is 1.026 states/eV per atom. The symmetry is R-3m, No. 166. As for the calculated formation energy: 1.078 eV/f.u. The calculation puts the mass density at 7.950 g cm⁻³. As for the volume: 17.3 Å³/atom.

a b c (Å): 8.9317 8.9317 8.9317
angles (deg): 19.49 19.49 19.49
Closest atoms and distances in Å follow each position.
Fractional positions:
Sc 0.4978 0.4978 0.4978  3 Os 2.76, 3 Cr 2.85, 6 Sc 3.02
Sc 0.0022 0.0022 0.0022  3 Os 2.76, 3 Cr 2.85, 6 Sc 3.02
Cr 0.2500 0.2500 0.2500  6 Sc 2.85, 6 Cr 3.02
Os 0.7500 0.7500 0.7500  6 Sc 2.76, 6 Os 3.02